VASP calculation (PBE) on Pm2PaAu after structural relaxation.

Output
Its formation energy is -0.24 eV/atom. The value obtained for the total energy is -5.80 eV per atom. The space-group type is P4/mmm. Its magnetization is 0.00 μB/f.u.

abc: 3.580 3.580 8.415
angles: 90.00 90.00 90.00
Sites, in units of the cell vectors:
Au  0.500  0.500  0.000
Pm  0.000  0.000  0.226
Pm  0.000  0.000  0.774
Pa  0.500  0.500  0.500